Below is SbHRuI2 after structural relaxation, with properties calculated at the GGA-PBE level.

For the excess energy over the best structure of this formula in the dataset, the calculation gives 241 meV/atom. The magnetization is 0.00 μB/cell. The calculation puts the density at 7.5 g/cm³. Its calculated volume is 21.3 Å³ per atom.

Geometry as extended XYZ:
```
5
Lattice="5.2875 0.0000 0.0000 0.0000 5.2875 0.0000 0.0000 0.0000 3.8071" Properties=species:S:1:pos:R:3 pbc="T T T"
Sb 0.0000 0.0000 0.0000
H 0.0000 0.0000 1.9035
Ru 2.6437 2.6437 0.0000
I 0.0000 2.6437 1.9035
I 2.6437 0.0000 1.9035
```

***

Below is Hf2Ni2Os after structural relaxation, with properties calculated at the GGA-PBE level.

For the energy of formation from the pure elements, the calculation gives -0.3994 eV per atom. The magnetization is 0.00 μB/cell. The calculation puts the density at 14.2 g/cm³. Its calculated volume is 15.5 Å³ per atom.

Geometry as extended XYZ:
```
10
Lattice="6.7609 0.0000 0.0000 0.0000 6.7609 0.0000 0.0000 0.0000 3.3948" Properties=species:S:1:pos:R:3 pbc="T T T"
Hf 1.2490 2.1315 0.0000
Hf 2.1315 5.5119 0.0000
Hf 4.6294 1.2490 0.0000
Hf 5.5119 4.6294 0.0000
Ni 0.8116 4.1921 1.6974
Ni 2.5688 0.8116 1.6974
Ni 4.1921 5.9492 1.6974
Ni 5.9492 2.5688 1.6974
Os 0.0000 0.0000 1.6974
Os 3.3804 3.3804 1.6974
```